The following is a DFT calculation (GGA+U) of NaSmMoO4 after structural relaxation.

uncorrected energy	-7.000	eV per atom

```
data_NaSmMoO4
_cell_length_a 6.564
_cell_length_b 7.102
_cell_length_c 9.355
_cell_angle_alpha 90.00
_cell_angle_beta 90.00
_cell_angle_gamma 90.00
_space_group_name_H-M_alt 'I m m a'
_space_group_IT_number 74
_space_group_name_Hall '-I 2b 2'
loop_
_atom_site_label
_atom_site_type_symbol
_atom_site_fract_x
_atom_site_fract_y
_atom_site_fract_z
Na1 Na 0.000 0.250 0.117
Sm1 Sm 0.000 0.000 0.500
Mo1 Mo 0.250 0.250 0.750
O1 O 0.000 0.057 0.748
O2 O 0.226 0.250 0.530
```